# 1
# Tb3Si2Ni6 (PBE-GGA, optimized geometry)
# Electronic total energy, eV/atom: -5.94
# Mass density, g cm⁻³: 8.70
data_Tb3Si2Ni6
_cell_length_a 8.774
_cell_length_b 8.774
_cell_length_c 8.774
_cell_angle_alpha 90.00
_cell_angle_beta 90.00
_cell_angle_gamma 90.00
_symmetry_space_group_name_H-M 'I m -3 m'
_symmetry_Int_Tables_number 229
_symmetry_space_group_name_Hall '-I 4 2 3'
loop_
_atom_site_label
_atom_site_type_symbol
_atom_site_fract_x
_atom_site_fract_y
_atom_site_fract_z
Tb1 Tb 0.000 0.000 0.286
Si1 Si 0.250 0.250 0.250
Ni1 Ni 0.000 0.331 0.331

---

# 2
# AcAsIrO (PBE-GGA, optimized geometry)
# Energy relative to the lowest polymorph listed for this composition, eV per formula unit: 2.466
# Mass density, g cm⁻³: 10.73
data_AcAsIrO
_cell_length_a 3.562
_cell_length_b 8.046
_cell_length_c 5.507
_cell_angle_alpha 90.00
_cell_angle_beta 90.00
_cell_angle_gamma 90.00
_symmetry_space_group_name_H-M 'P m c 21'
_symmetry_Int_Tables_number 26
loop_
_symmetry_equiv_pos_as_xyz
'x,y,z'
'-x,-y,z+1/2'
'-x,y,z'
'x,-y,z+1/2'
loop_
_atom_site_label
_atom_site_type_symbol
_atom_site_fract_x
_atom_site_fract_y
_atom_site_fract_z
Ac1 Ac 0.000 0.164 0.000
As1 As 0.000 0.428 0.498
Ir1 Ir 0.500 0.231 0.501
O1 O 0.500 0.001 0.750

---

# 3
# Sr4Zn3F14 (PBE-GGA, optimized geometry)
# Electronic total energy, eV/atom: -4.96
# Mass density, g cm⁻³: 4.95
data_Sr4Zn3F14
_cell_length_a 6.6657
_cell_length_b 6.6657
_cell_length_c 7.0800
_cell_angle_alpha 90.00
_cell_angle_beta 90.00
_cell_angle_gamma 120.00
_symmetry_space_group_name_H-M 'P 3 1 m'
_symmetry_Int_Tables_number 157
loop_
_symmetry_equiv_pos_as_xyz
'x,y,z'
'-y,x-y,z'
'-x+y,-x,z'
'y,x,z'
'x-y,-y,z'
'-x,-x+y,z'
loop_
_atom_site_label
_atom_site_type_symbol
_atom_site_fract_x
_atom_site_fract_y
_atom_site_fract_z
Sr1 Sr 0.0000 0.0000 0.0000
Sr2 Sr 0.0000 0.0000 0.4720
Sr3 Sr 0.3333 0.6667 0.2357
Zn1 Zn 0.0000 0.5578 0.7371
F1 F 0.0000 0.2420 0.7352
F2 F 0.0000 0.2676 0.2365
F3 F 0.0000 0.6107 0.4642
F4 F 0.0000 0.6134 0.0107
F5 F 0.3333 0.6667 0.7451